Record 1
## PrSc2Zn2Ga2 (GGA-PBE)

Data for a relaxed PrSc2Zn2Ga2 crystal.

Cell lengths 4.3988, 4.3988, 9.1744 Å; angles 76.13, 76.13, 60.00 degrees
Fractional positions:
Pr (0.0000, 0.0000, 0.0000)
Sc (0.1315, 0.1315, 0.6056)
Sc (0.8685, 0.8685, 0.3944)
Zn (0.5878, 0.5878, 0.2367)
Zn (0.4122, 0.4122, 0.7633)
Ga (0.7492, 0.7492, 0.7523)
Ga (0.2508, 0.2508, 0.2477)

Formation enthalpy at 0 K (eV/atom): -0.420
Space group: R-3m, No. 166

Record 2
## PrScZnGa (GGA-PBE)

Data for a relaxed PrScZnGa crystal.

Cell lengths 5.0248, 5.0248, 5.0248 Å; angles 60.00, 60.00, 60.00 degrees
Fractional positions:
Pr (0.0000, 0.0000, 0.0000)
Sc (0.5000, 0.5000, 0.5000)
Zn (0.7500, 0.7500, 0.7500)
Ga (0.2500, 0.2500, 0.2500)

Formation enthalpy at 0 K (eV/atom): -0.433
Space group: F-43m, No. 216

Record 3
## Pr6GaSe12 (GGA-PBE)

Data for a relaxed Pr6GaSe12 crystal.

Cell lengths 8.3819, 8.3819, 8.3819 Å; angles 96.93, 96.93, 96.93 degrees
Fractional positions:
Pr (0.6673, 0.8576, 0.3497)
Pr (0.6503, 0.3327, 0.1424)
Pr (0.1424, 0.6503, 0.3327)
Pr (0.3327, 0.1424, 0.6503)
Pr (0.3497, 0.6673, 0.8576)
Pr (0.8576, 0.3497, 0.6673)
Ga (0.0000, 0.0000, 0.0000)
Se (0.8179, 0.5714, 0.4189)
Se (0.4189, 0.8179, 0.5714)
Se (0.5714, 0.4189, 0.8179)
Se (0.1821, 0.4286, 0.5811)
Se (0.5811, 0.1821, 0.4286)
Se (0.4286, 0.5811, 0.1821)
Se (0.0313, 0.9937, 0.3489)
Se (0.0063, 0.6511, 0.9687)
Se (0.6511, 0.9687, 0.0063)
Se (0.9687, 0.0063, 0.6511)
Se (0.9937, 0.3489, 0.0313)
Se (0.3489, 0.0313, 0.9937)

Space group: R-3, No. 148
Raw formation energy (eV/atom): -1.446

Record 4
## Pr5GaSe4 (GGA-PBE)

Data for a relaxed Pr5GaSe4 crystal.

Cell lengths 6.0481, 7.4400, 7.4400 Å; angles 80.49, 66.02, 66.02 degrees
Fractional positions:
Pr (0.9034, 0.3946, 0.8006)
Pr (0.2979, 0.8006, 0.6054)
Pr (0.7039, 0.1994, 0.3946)
Pr (0.0985, 0.6054, 0.1994)
Pr (0.5014, 0.0000, 0.0000)
Ga (0.0014, 0.0000, 0.0000)
Se (0.4014, 0.4000, 0.7991)
Se (0.8014, 0.7991, 0.6000)
Se (0.2005, 0.2009, 0.4000)
Se (0.6005, 0.6000, 0.2009)

Space group: I4/m, No. 87
Raw formation energy (eV/atom): -1.631

Record 5
## Pr3GaSe (GGA-PBE)

Data for a relaxed Pr3GaSe crystal.

Cell lengths 4.1510, 8.9515, 16.1429 Å; angles 90.00, 90.00, 90.00 degrees
Fractional positions:
Pr (0.2500, 0.3503, 0.5535)
Pr (0.7500, 0.8438, 0.2105)
Pr (0.7500, 0.5118, 0.8904)
Pr (0.7500, 0.0118, 0.6096)
Pr (0.7500, 0.6497, 0.4465)
Pr (0.2500, 0.9882, 0.3904)
Pr (0.2500, 0.8503, 0.9465)
Pr (0.7500, 0.3438, 0.2895)
Pr (0.2500, 0.6562, 0.7105)
Pr (0.2500, 0.1562, 0.7895)
Pr (0.7500, 0.1497, 0.0535)
Pr (0.2500, 0.4882, 0.1096)
Ga (0.7500, 0.8681, 0.7959)
Ga (0.2500, 0.1319, 0.2041)
Ga (0.7500, 0.3681, 0.7041)
Ga (0.2500, 0.6319, 0.2959)
Se (0.2500, 0.3008, 0.9535)
Se (0.2500, 0.8008, 0.5465)
Se (0.7500, 0.1992, 0.4535)
Se (0.7500, 0.6992, 0.0465)

Space group: Pnma, No. 62
Raw formation energy (eV/atom): -0.910

Record 6
## PrGa2Se4 (GGA-PBE)

Data for a relaxed PrGa2Se4 crystal.

Cell lengths 6.3659, 6.3659, 6.3659 Å; angles 104.86, 104.86, 119.15 degrees
Fractional positions:
Pr (0.5000, 0.5000, 0.0000)
Ga (0.2500, 0.7500, 0.5000)
Ga (0.7500, 0.2500, 0.5000)
Se (0.3129, 0.1624, 0.4753)
Se (0.8376, 0.3129, 0.1504)
Se (0.1624, 0.6871, 0.8496)
Se (0.6871, 0.8376, 0.5247)

Space group: I4/m, No. 87
Raw formation energy (eV/atom): -0.776